Al2Mo2O7 after structural relaxation, computed with PBE+U.

Cell lengths 6.645, 6.672, 6.706 Å; angles 66.61, 66.76, 66.31 degrees
Fractional positions:
Al 0.000 0.000 0.000
Al 0.000 0.000 0.500
Al 0.000 0.500 0.000
Al 0.500 0.000 0.000
Mo 0.000 0.500 0.500
Mo 0.500 0.000 0.500
Mo 0.500 0.500 0.000
Mo 0.500 0.500 0.500
O 0.110 0.135 0.127
O 0.128 0.561 0.169
O 0.162 0.130 0.576
O 0.181 0.682 0.495
O 0.325 0.490 0.826
O 0.388 0.845 0.890
O 0.493 0.833 0.317
O 0.507 0.167 0.683
O 0.612 0.155 0.110
O 0.675 0.510 0.174
O 0.819 0.318 0.505
O 0.838 0.870 0.424
O 0.872 0.439 0.831
O 0.890 0.865 0.873

distance to the lowest polymorph of the same formula	2.21	eV per formula unit
total magnetization	0.273	μB per atom
density	4.953	g cm⁻³
symmetry	P-1